Record 1
A plane-wave DFT calculation with GGA-PBE was carried out for crystalline NdErCl at its relaxed geometry.

a b c (Å): 3.7644 3.7647 16.1340
angles (deg): 84.55 83.61 60.01
Closest atoms and distances in Å follow each position.
Space group P1 (No. 1)
Unique sites:
Nd1 0.0000 0.0000 0.0000  3 Cl 2.86
Nd2 0.4725 0.5482 0.5300  3 Cl 2.86
Er1 0.2045 0.2544 0.3517  9 Er 3.48-3.77, 3 Nd 3.59
Er2 0.6002 0.6260 0.1818  9 Er 3.48-3.77, 3 Nd 3.63
Cl1 0.3756 0.3596 0.8836  3 Nd 2.86
Cl2 0.7636 0.8557 0.6459  3 Nd 2.86

Values from the calculation:
Energy relative to the elements, uncorrected (kJ/mol of atoms): -88.2
Polymorph energy (0 for the lowest one) (meV/atom): 0
Crystal system: triclinic

---

Record 2
A plane-wave DFT calculation with GGA-PBE was carried out for crystalline NdErCl at its relaxed geometry.

a b c (Å): 3.6940 3.6940 7.1838
angles (deg): 90.00 90.00 120.00
Closest atoms and distances in Å follow each position.
Space group P3m1 (No. 156)
Unique sites:
Nd1 0.0000 0.0000 0.0000  3 Cl 3.19, 3 Er 3.47
Er1 0.6667 0.3333 0.3805  3 Cl 2.98
Cl1 0.3333 0.6667 0.6694  3 Er 2.98, 3 Nd 3.19

Values from the calculation:
Energy relative to the elements, uncorrected (kJ/mol of atoms): -86.8
Polymorph energy (0 for the lowest one) (meV/atom): 14
Crystal system: trigonal

---

Record 3
A plane-wave DFT calculation with GGA-PBE was carried out for crystalline NdErTe2Cl at its relaxed geometry.

a b c (Å): 4.3325 4.3325 15.0162
angles (deg): 90.00 90.00 90.00
Closest atoms and distances in Å follow each position.
Space group P4/nmm (No. 129, origin choice 2)
Unique sites:
Nd1 0.2500 0.2500 0.1345  4 Cl 2.96, 4 Te 3.26
Er1 0.2500 0.2500 0.5831  6 Te 3.07-3.14
Te1 0.2500 0.2500 0.3787  5 Er 3.07-3.12
Te2 0.2500 0.2500 0.7920  1 Er 3.14, 4 Nd 3.26
Cl1 0.2500 0.7500 0.0000  4 Nd 2.96, 4 Cl 3.06

Values from the calculation:
Energy relative to the elements, uncorrected (kJ/mol of atoms): -152.3
Crystal system: tetragonal

---

Record 4
A plane-wave DFT calculation with GGA-PBE was carried out for crystalline Er4NiCl5 at its relaxed geometry.

a b c (Å): 17.9194 3.8151 8.0939
angles (deg): 90.00 102.12 90.00
Closest atoms and distances in Å follow each position.
Space group C2/m (No. 12)
Unique sites:
Er1 0.0023 0.0000 0.2205  2 Ni 2.61, 1 Cl 2.90
Er2 0.1481 0.5000 0.0763  1 Ni 2.60, 4 Cl 2.72-2.77
Ni1 0.0000 0.5000 0.0000  6 Er 2.60-2.61
Cl1 0.0000 0.5000 0.5000  4 Er 2.97
Cl2 0.1677 0.0000 0.3215  3 Er 2.72-2.90
Cl3 0.1811 0.0000 0.8534  3 Er 2.77-2.99

Values from the calculation:
Energy relative to the elements, uncorrected (kJ/mol of atoms): -153.5
Crystal system: monoclinic

---

Record 5
A plane-wave DFT calculation with GGA-PBE was carried out for crystalline Er3NiCl3 at its relaxed geometry.

a b c (Å): 6.5323 6.5323 31.1892
angles (deg): 90.00 90.00 120.00
Closest atoms and distances in Å follow each position.
Space group R-3 (No. 148, hexagonal axes)
Unique sites:
Er1 0.0000 0.3427 0.4495  2 Ni 2.66, 3 Cl 2.78-2.80
Ni1 0.0000 0.0000 0.1667  6 Er 2.66
Cl1 0.0000 0.3268 0.6064  3 Er 2.78-2.80

Values from the calculation:
Energy relative to the elements, uncorrected (kJ/mol of atoms): -134.4
Crystal system: trigonal

---

Record 6
A plane-wave DFT calculation with GGA-PBE was carried out for crystalline Er3NiTeCl at its relaxed geometry.

a b c (Å): 8.3294 3.9972 9.6459
angles (deg): 90.00 96.69 90.00
Closest atoms and distances in Å follow each position.
Space group P2_1/m (No. 11)
Unique sites:
Er1 0.1340 0.2500 0.3203  3 Ni 2.72-2.82
Er2 0.1385 0.2500 0.8966  2 Cl 2.67, 1 Ni 2.89
Er3 0.2937 0.7500 0.6164  2 Ni 2.81, 1 Cl 2.85
Ni1 0.0552 0.2500 0.5972  6 Er 2.72-2.89, 2 Ni 2.82
Te1 0.4140 0.7500 0.3183  5 Er 3.07-3.16
Cl1 0.3526 0.7500 0.9140  3 Er 2.67-2.85

Values from the calculation:
Energy relative to the elements, uncorrected (kJ/mol of atoms): -93.1
Crystal system: monoclinic

---

Record 7
A plane-wave DFT calculation with GGA-PBE was carried out for crystalline Er3NpCl2O6 at its relaxed geometry.

a b c (Å): 11.9589 6.6962 5.4047
angles (deg): 90.00 101.87 90.00
Closest atoms and distances in Å follow each position.
Space group C2/m (No. 12)
Unique sites:
Er1 0.0000 0.0000 0.0000  4 O 2.32
Er2 0.2500 0.2500 0.5000  4 O 2.17-2.25
Np1 0.0000 0.5000 0.5000  6 O 2.10-2.26
Cl1 0.1962 0.0000 0.8354  3 Er 2.64-2.67, 1 O 2.82
O1 0.0667 0.2495 0.2903  2 Er 2.25-2.32, 1 Np 2.26
O2 0.1751 0.5000 0.6649  1 Np 2.10, 2 Er 2.17

Values from the calculation:
Energy relative to the elements, uncorrected (kJ/mol of atoms): -281.3
Crystal system: monoclinic

---

Record 8
A plane-wave DFT calculation with GGA-PBE was carried out for crystalline ErClO at its relaxed geometry.

a b c (Å): 3.7355 4.1553 9.0859
angles (deg): 90.00 90.00 90.00
Closest atoms and distances in Å follow each position.
Space group Pmmn (No. 59, origin choice 2)
Unique sites:
Er1 0.2500 0.2500 0.1153  4 O 2.22-2.28
Cl1 0.2500 0.7500 0.6765  2 Er 2.66
O1 0.2500 0.7500 0.0295  4 Er 2.22-2.28

Values from the calculation:
Energy relative to the elements, uncorrected (kJ/mol of atoms): -298.6
Crystal system: orthorhombic

---

Record 9
A plane-wave DFT calculation with GGA-PBE was carried out for crystalline ErClO at its relaxed geometry.

a b c (Å): 3.7599 3.7598 8.1847
angles (deg): 90.00 90.01 90.00
Closest atoms and distances in Å follow each position.
Space group P2_1 (No. 4)
Unique sites:
Er1 0.2501 0.0000 0.1400  4 O 2.20
Cl1 0.2502 0.9992 0.6782  4 Er 3.04-3.05, 4 O 3.23-3.24
O1 0.2499 0.4999 0.0000  4 Er 2.20

Values from the calculation:
Energy relative to the elements, uncorrected (kJ/mol of atoms): -297.0
Crystal system: monoclinic

---

Record 10
A plane-wave DFT calculation with GGA-PBE was carried out for crystalline ErClO at its relaxed geometry.

a b c (Å): 3.3314 3.3314 23.2162
angles (deg): 90.00 90.00 90.00
Closest atoms and distances in Å follow each position.
Space group I4/mmm (No. 139)
Unique sites:
Er1 0.0000 0.0000 0.1882  1 Cl 2.38, 5 O 2.39-2.45
Cl1 0.0000 0.0000 0.0858  1 Er 2.38
O1 0.0000 0.0000 0.2936  5 Er 2.39-2.45

Values from the calculation:
Energy relative to the elements, uncorrected (kJ/mol of atoms): -252.3
Crystal system: tetragonal

---

Q: Which value of energy relative to the elements, uncorrected does entry 6 give?
A: -93.1 kJ/mol of atoms

---

Q: Which formula does entry 1 have?
A: NdErCl

---

Q: The highest energy relative to the elements, uncorrected belongs to which entry?
A: number 2